Entry 1:
5
Lattice="3.069 0.000 0.000 0.000 3.069 0.000 0.000 0.000 4.852" Properties=species:S:1:pos:R:3 comment="HIrOF2, optimized geometry, DFT PBE" energy_ev_per_atom=-4.080 dos_ef_per_ev_cell=2.75 e_above_lowest_polymorph_mev_per_atom=446 pbc="T T T"
H 0.000 0.000 0.000
Ir 1.534 1.534 2.426
O 0.000 0.000 2.426
F 0.000 1.534 0.000
F 1.534 0.000 0.000

***

Entry 2:
5
Lattice="-2.155 -1.429 3.342 3.611 -1.283 1.780 0.359 3.268 1.628" Properties=species:S:1:pos:R:3 comment="HIrOF2, optimized geometry, DFT PBE" energy_ev_per_atom=-4.527 dos_ef_per_ev_cell=1.96 e_above_lowest_polymorph_mev_per_atom=0 pbc="T T T"
H 0.907 0.278 3.375
Ir 0.000 0.000 0.000
O 0.179 1.634 0.814
F 1.806 -0.642 0.890
F -1.077 -0.714 1.671

***

Entry 3:
10
Lattice="5.409 0.000 0.000 0.000 5.409 0.000 2.704 2.704 5.005" Properties=species:S:1:pos:R:3 comment="Rb2HIrF6, optimized geometry, DFT PBE" energy_ev_per_atom=-4.227 dos_ef_per_ev_cell=0.00 pbc="T T T"
H 2.704 2.704 0.000
Ir 0.000 0.000 0.000
Rb 5.409 2.704 2.502
Rb 2.704 5.409 2.502
F 2.704 2.704 2.976
F 5.409 5.409 2.029
F 1.461 1.461 0.000
F 3.948 3.948 0.000
F 3.948 1.461 0.000
F 1.461 3.948 0.000

***

Entry 4:
5
Lattice="3.225 0.000 0.000 0.000 7.329 0.000 0.000 0.000 3.225" Properties=species:S:1:pos:R:3 comment="H2IrSF, optimized geometry, DFT PBE" energy_ev_per_atom=-3.790 dos_ef_per_ev_cell=1.71 pbc="T T T"
H 0.000 0.000 1.612
H 1.612 0.000 0.000
S 0.000 3.665 0.000
Ir 1.612 3.665 1.612
F 0.000 0.000 0.000